[1]
The following is a DFT calculation (PBE) of crystalline Al2SiPd5 at its relaxed geometry.

Properties
- electronic total energy (eV per cell) = -87.82
- theoretical density (g/cm³) = 8.8

abc: 3.9821 3.9821 14.6205
angles: 90.00 90.00 90.00
Closest atoms and distances in Å follow each position.
Space group I4/mmm (No. 139)
Inequivalent atoms, fractional coordinates:
Al  0.0000  0.0000  0.2463 x4  8 Pd 2.58-2.65, 4 Al 2.82
Si  0.0000  0.0000  0.5000 x2  12 Pd 2.79-2.82
Pd  0.0000  0.0000  0.0000 x2  8 Pd 2.79, 4 Si 2.82
Pd  0.0000  0.5000  0.1339 x8  4 Al 2.58-2.65, 6 Pd 2.79-2.82, 2 Si 2.79


[2]
The following is a DFT calculation (PBE) of crystalline Al17Si4Pd8 at its relaxed geometry.

Properties
- electronic total energy (eV per cell) = -556.59
- theoretical density (g/cm³) = 5.1

abc: 12.8015 12.8015 11.3928
angles: 90.00 90.00 90.00
Closest atoms and distances in Å follow each position.
Space group I4_1/a (No. 88, origin choice 2)
Inequivalent atoms, fractional coordinates:
Al  0.0000  0.2500  0.1250 x4  4 Pd 2.75, 8 Al 2.89-2.91
Al  0.0256  0.4719  0.1744 x16  4 Pd 2.57-2.66, 1 Al 2.83
Al  0.0827  0.3385  0.9114 x16  1 Si 2.50, 2 Pd 2.52-2.61
Al  0.0970  0.4630  0.4141 x16  4 Pd 2.58-2.88, 2 Si 2.65-2.66, 2 Al 2.75-2.88
Al  0.2036  0.0215  0.1733 x16  4 Pd 2.56-2.68, 2 Al 2.75-2.83
Si  0.0268  0.1548  0.5464 x16  2 Pd 2.47, 3 Al 2.50-2.66, 3 Si 2.53
Pd  0.0849  0.0904  0.9953 x16  8 Al 2.52-2.75
Pd  0.0948  0.4636  0.6493 x16  2 Si 2.47, 6 Al 2.56-2.73


[3]
The following is a DFT calculation (PBE) of crystalline AlSiPd at its relaxed geometry.

Properties
- electronic total energy (eV per cell) = -61.05
- theoretical density (g/cm³) = 5.4

abc: 5.8361 5.8361 5.8361
angles: 90.00 90.00 90.00
Closest atoms and distances in Å follow each position.
Space group F-43m (No. 216)
Inequivalent atoms, fractional coordinates:
Al  0.0000  0.0000  0.0000 x4  4 Si 2.53
Si  0.2500  0.2500  0.2500 x4  4 Al 2.53, 4 Pd 2.53
Pd  0.0000  0.0000  0.5000 x4  4 Si 2.53


[4]
The following is a DFT calculation (PBE) of crystalline Sr2TbAl3Si2Pd at its relaxed geometry.

Properties
- total moment (μB per formula unit) = 0.0
- electronic total energy (eV per cell) = -80.54
- theoretical density (g/cm³) = 4.9

abc: 4.4157 12.5349 7.0684
angles: 90.00 90.00 90.00
Closest atoms and distances in Å follow each position.
Space group Amm2 (No. 38)
Inequivalent atoms, fractional coordinates:
Sr  0.0000  0.2117  0.0000 x4  1 Pd 3.07, 4 Si 3.12-3.13, 2 Al 3.35
Tb  0.0000  0.0000  0.6306 x2  1 Pd 2.91, 4 Si 2.98
Al  0.5000  0.0000  0.9721 x2  2 Si 2.70, 2 Pd 2.81, 2 Al 2.91
Al  0.5000  0.1104  0.3344 x4  1 Si 2.68, 2 Pd 2.73, 2 Al 2.77-2.91
Si  0.5000  0.1541  0.7054 x4  2 Al 2.68-2.70, 2 Tb 2.98
Pd  0.0000  0.0000  0.2185 x2  6 Al 2.73-2.81, 1 Tb 2.91


Copy entry 2 word for word.
The following is a DFT calculation (PBE) of crystalline Al17Si4Pd8 at its relaxed geometry.

Properties
- electronic total energy (eV per cell) = -556.59
- theoretical density (g/cm³) = 5.1

abc: 12.8015 12.8015 11.3928
angles: 90.00 90.00 90.00
Closest atoms and distances in Å follow each position.
Space group I4_1/a (No. 88, origin choice 2)
Inequivalent atoms, fractional coordinates:
Al  0.0000  0.2500  0.1250 x4  4 Pd 2.75, 8 Al 2.89-2.91
Al  0.0256  0.4719  0.1744 x16  4 Pd 2.57-2.66, 1 Al 2.83
Al  0.0827  0.3385  0.9114 x16  1 Si 2.50, 2 Pd 2.52-2.61
Al  0.0970  0.4630  0.4141 x16  4 Pd 2.58-2.88, 2 Si 2.65-2.66, 2 Al 2.75-2.88
Al  0.2036  0.0215  0.1733 x16  4 Pd 2.56-2.68, 2 Al 2.75-2.83
Si  0.0268  0.1548  0.5464 x16  2 Pd 2.47, 3 Al 2.50-2.66, 3 Si 2.53
Pd  0.0849  0.0904  0.9953 x16  8 Al 2.52-2.75
Pd  0.0948  0.4636  0.6493 x16  2 Si 2.47, 6 Al 2.56-2.73


Copy entry 3 word for word.
The following is a DFT calculation (PBE) of crystalline AlSiPd at its relaxed geometry.

Properties
- electronic total energy (eV per cell) = -61.05
- theoretical density (g/cm³) = 5.4

abc: 5.8361 5.8361 5.8361
angles: 90.00 90.00 90.00
Closest atoms and distances in Å follow each position.
Space group F-43m (No. 216)
Inequivalent atoms, fractional coordinates:
Al  0.0000  0.0000  0.0000 x4  4 Si 2.53
Si  0.2500  0.2500  0.2500 x4  4 Al 2.53, 4 Pd 2.53
Pd  0.0000  0.0000  0.5000 x4  4 Si 2.53


Copy entry 3 word for word.
The following is a DFT calculation (PBE) of crystalline AlSiPd at its relaxed geometry.

Properties
- electronic total energy (eV per cell) = -61.05
- theoretical density (g/cm³) = 5.4

abc: 5.8361 5.8361 5.8361
angles: 90.00 90.00 90.00
Closest atoms and distances in Å follow each position.
Space group F-43m (No. 216)
Inequivalent atoms, fractional coordinates:
Al  0.0000  0.0000  0.0000 x4  4 Si 2.53
Si  0.2500  0.2500  0.2500 x4  4 Al 2.53, 4 Pd 2.53
Pd  0.0000  0.0000  0.5000 x4  4 Si 2.53